[1]
# Li2ZnIr | Alexandria via LeMat-Bulk | meta-GGA SCAN | PBEsol geometry
data_Li2ZnIr
_chemical_formula_sum 'Li4 Zn2 Ir2'
_symmetry_space_group_name_H-M 'C m m m'
_symmetry_Int_Tables_number 65
_symmetry_space_group_name_Hall '-C 2 2'
_cell_length_a 2.7311
_cell_length_b 4.4683
_cell_length_c 8.9733
_cell_angle_alpha 90.00
_cell_angle_beta 90.00
_cell_angle_gamma 90.00
loop_
_atom_site_label
_atom_site_type_symbol
_atom_site_fract_x
_atom_site_fract_y
_atom_site_fract_z
Li1 Li 0.0000 0.0000 0.2374
Zn1 Zn 0.0000 0.5000 0.5000
Ir1 Ir 0.0000 0.5000 0.0000
# Formation energy   -220.3 meV/atom

[2]
# LiZnIr | Alexandria via LeMat-Bulk | meta-GGA SCAN | PBEsol geometry
data_LiZnIr
_chemical_formula_sum 'Li2 Zn2 Ir2'
_symmetry_space_group_name_H-M 'I m m 2'
_symmetry_Int_Tables_number 44
_cell_length_a 2.5865
_cell_length_b 3.9535
_cell_length_c 7.7457
_cell_angle_alpha 90.00
_cell_angle_beta 90.00
_cell_angle_gamma 90.00
loop_
_symmetry_equiv_pos_as_xyz
'x,y,z'
'-x,-y,z'
'-x,y,z'
'x,-y,z'
'x+1/2,y+1/2,z+1/2'
'-x+1/2,-y+1/2,z+1/2'
'-x+1/2,y+1/2,z+1/2'
'x+1/2,-y+1/2,z+1/2'
loop_
_atom_site_label
_atom_site_type_symbol
_atom_site_fract_x
_atom_site_fract_y
_atom_site_fract_z
Li1 Li 0.0000 0.0000 0.0000
Zn1 Zn 0.0000 0.0000 0.6738
Ir1 Ir 0.0000 0.0000 0.3318
# Formation energy   -242.3 meV/atom

[3]
# Li2ZnIr | Alexandria via LeMat-Bulk | meta-GGA SCAN | PBEsol geometry
data_Li2ZnIr
_chemical_formula_sum 'Li2 Zn1 Ir1'
_symmetry_space_group_name_H-M 'P 1 m 1'
_symmetry_Int_Tables_number 6
_cell_length_a 2.5319
_cell_length_b 4.1149
_cell_length_c 5.2591
_cell_angle_alpha 90.00
_cell_angle_beta 102.99
_cell_angle_gamma 90.00
loop_
_symmetry_equiv_pos_as_xyz
'x,y,z'
'x,-y,z'
loop_
_atom_site_label
_atom_site_type_symbol
_atom_site_fract_x
_atom_site_fract_y
_atom_site_fract_z
Li1 Li 0.0000 0.0000 0.0000
Li2 Li 0.2979 0.5000 0.2503
Zn1 Zn 0.8556 0.0000 0.5190
Ir1 Ir 0.4382 0.5000 0.7565
# Formation energy   -247.0 meV/atom

| no. | N(E_F) (states/eV per atom) | total magnetic moment (μB/f.u.) |
| --- | --- | --- |
| 1 | 0.497 | 0.0 |
| 2 | 0.562 | 0.2 |
| 3 | 0.362 | 0.0 |